The following is a DFT calculation (PBE+U) of a relaxed MnBeO2F crystal.

## Properties
density: 4.36 g/cm3
total energy: -6.283 eV/atom

Cell lengths 3.5182, 3.5182, 3.5343 Å; angles 90.00, 90.00, 90.00 degrees
Space group P4/mmm (No. 123)
Unique sites:
1 Mn 0.0000 0.0000 0.0000 [1 per cell]
2 Be 0.5000 0.5000 0.5000 [1 per cell]
3 O 0.0000 0.5000 0.5000 [2 per cell]
4 F 0.5000 0.5000 0.0000 [1 per cell]